i:
A plane-wave DFT calculation with PBE was carried out for an optimized crystal structure of CsAsBr2F.

Geometry as CIF:
```
data_CsAsBr2F
_cell_length_a 5.8258
_cell_length_b 5.8258
_cell_length_c 4.2832
_cell_angle_alpha 90.00
_cell_angle_beta 90.00
_cell_angle_gamma 90.00
_space_group_name_H-M_alt 'P 4/m m m'
_space_group_IT_number 123
_space_group_name_Hall '-P 4 2'
loop_
_atom_site_label
_atom_site_type_symbol
_atom_site_fract_x
_atom_site_fract_y
_atom_site_fract_z
Cs1 Cs 0.0000 0.0000 0.0000
As1 As 0.5000 0.5000 0.5000
Br1 Br 0.0000 0.5000 0.5000
F1 F 0.5000 0.5000 0.0000
```

=====

ii:
A plane-wave DFT calculation with PBE was carried out for an optimized crystal structure of CsAsBr2F.

Geometry as CIF:
```
data_CsAsBr2F
_cell_length_a 6.2604
_cell_length_b 6.2604
_cell_length_c 3.9841
_cell_angle_alpha 90.00
_cell_angle_beta 90.00
_cell_angle_gamma 90.00
_space_group_name_H-M_alt 'P 4/m m m'
_space_group_IT_number 123
_space_group_name_Hall '-P 4 2'
loop_
_atom_site_label
_atom_site_type_symbol
_atom_site_fract_x
_atom_site_fract_y
_atom_site_fract_z
Cs1 Cs 0.0000 0.0000 0.0000
As1 As 0.5000 0.5000 0.0000
Br1 Br 0.0000 0.5000 0.5000
F1 F 0.5000 0.5000 0.5000
```

=====

Relative to the most stable structure, the computed energies are i 0; ii 384, all in meV/atom.

=====

i:
A plane-wave DFT calculation with PBE was carried out for an optimized crystal structure of CsGaAs2Br.

Geometry as CIF:
```
data_CsGaAs2Br
_cell_length_a 6.1186
_cell_length_b 6.1186
_cell_length_c 6.5841
_cell_angle_alpha 90.00
_cell_angle_beta 90.00
_cell_angle_gamma 90.00
_space_group_name_H-M_alt 'P 4/m m m'
_space_group_IT_number 123
_space_group_name_Hall '-P 4 2'
loop_
_atom_site_label
_atom_site_type_symbol
_atom_site_fract_x
_atom_site_fract_y
_atom_site_fract_z
Cs1 Cs 0.0000 0.0000 0.0000
Ga1 Ga 0.5000 0.5000 0.5000
As1 As 0.0000 0.5000 0.0000
Br1 Br 0.0000 0.0000 0.5000
```

=====

ii:
A plane-wave DFT calculation with PBE was carried out for an optimized crystal structure of CsGaAs2Br.

Geometry as CIF:
```
data_CsGaAs2Br
_cell_length_a 4.9769
_cell_length_b 4.9769
_cell_length_c 6.9343
_cell_angle_alpha 90.00
_cell_angle_beta 90.00
_cell_angle_gamma 90.00
_space_group_name_H-M_alt 'P 4/m m m'
_space_group_IT_number 123
_space_group_name_Hall '-P 4 2'
loop_
_atom_site_label
_atom_site_type_symbol
_atom_site_fract_x
_atom_site_fract_y
_atom_site_fract_z
Cs1 Cs 0.0000 0.0000 0.0000
Ga1 Ga 0.5000 0.5000 0.5000
As1 As 0.0000 0.5000 0.5000
Br1 Br 0.5000 0.5000 0.0000
```

=====

Relative to the most stable structure, the computed energies are i 1089; ii 0, all in meV/atom.

=====

i:
A plane-wave DFT calculation with PBE was carried out for an optimized crystal structure of CsGeAs2Br.

Geometry as CIF:
```
data_CsGeAs2Br
_cell_length_a 5.9895
_cell_length_b 5.9895
_cell_length_c 6.3068
_cell_angle_alpha 90.00
_cell_angle_beta 90.00
_cell_angle_gamma 90.00
_space_group_name_H-M_alt 'P 4/m m m'
_space_group_IT_number 123
_space_group_name_Hall '-P 4 2'
loop_
_atom_site_label
_atom_site_type_symbol
_atom_site_fract_x
_atom_site_fract_y
_atom_site_fract_z
Cs1 Cs 0.0000 0.0000 0.0000
Ge1 Ge 0.5000 0.5000 0.5000
As1 As 0.0000 0.5000 0.0000
Br1 Br 0.0000 0.0000 0.5000
```

=====

ii:
A plane-wave DFT calculation with PBE was carried out for an optimized crystal structure of CsGeAs2Br.

Geometry as CIF:
```
data_CsGeAs2Br
_cell_length_a 5.0000
_cell_length_b 5.0000
_cell_length_c 6.8045
_cell_angle_alpha 90.00
_cell_angle_beta 90.00
_cell_angle_gamma 90.00
_space_group_name_H-M_alt 'P 4/m m m'
_space_group_IT_number 123
_space_group_name_Hall '-P 4 2'
loop_
_atom_site_label
_atom_site_type_symbol
_atom_site_fract_x
_atom_site_fract_y
_atom_site_fract_z
Cs1 Cs 0.0000 0.0000 0.0000
Ge1 Ge 0.5000 0.5000 0.5000
As1 As 0.0000 0.5000 0.5000
Br1 Br 0.5000 0.5000 0.0000
```

=====

Relative to the most stable structure, the computed energies are i 1388; ii 0, all in meV/atom.

=====

i:
A plane-wave DFT calculation with PBE was carried out for an optimized crystal structure of CsHfAsBr2.

Geometry as CIF:
```
data_CsHfAsBr2
_cell_length_a 5.5539
_cell_length_b 5.5539
_cell_length_c 5.1733
_cell_angle_alpha 90.00
_cell_angle_beta 90.00
_cell_angle_gamma 90.00
_space_group_name_H-M_alt 'P 4/m m m'
_space_group_IT_number 123
_space_group_name_Hall '-P 4 2'
loop_
_atom_site_label
_atom_site_type_symbol
_atom_site_fract_x
_atom_site_fract_y
_atom_site_fract_z
Cs1 Cs 0.0000 0.0000 0.0000
Hf1 Hf 0.5000 0.5000 0.5000
As1 As 0.5000 0.5000 0.0000
Br1 Br 0.0000 0.5000 0.5000
```

=====

ii:
A plane-wave DFT calculation with PBE was carried out for an optimized crystal structure of CsHfAsBr2.

Geometry as CIF:
```
data_CsHfAsBr2
_cell_length_a 6.1680
_cell_length_b 6.1680
_cell_length_c 5.9041
_cell_angle_alpha 90.00
_cell_angle_beta 90.00
_cell_angle_gamma 90.00
_space_group_name_H-M_alt 'P 4/m m m'
_space_group_IT_number 123
_space_group_name_Hall '-P 4 2'
loop_
_atom_site_label
_atom_site_type_symbol
_atom_site_fract_x
_atom_site_fract_y
_atom_site_fract_z
Cs1 Cs 0.0000 0.0000 0.0000
Hf1 Hf 0.5000 0.5000 0.5000
As1 As 0.0000 0.0000 0.5000
Br1 Br 0.0000 0.5000 0.0000
```

=====

Relative to the most stable structure, the computed energies are i 0; ii 2045, all in meV/atom.

=====

i:
A plane-wave DFT calculation with PBE was carried out for an optimized crystal structure of CsHgAs2Br.

Geometry as CIF:
```
data_CsHgAs2Br
_cell_length_a 6.0909
_cell_length_b 6.0909
_cell_length_c 6.4604
_cell_angle_alpha 90.00
_cell_angle_beta 90.00
_cell_angle_gamma 90.00
_space_group_name_H-M_alt 'P 4/m m m'
_space_group_IT_number 123
_space_group_name_Hall '-P 4 2'
loop_
_atom_site_label
_atom_site_type_symbol
_atom_site_fract_x
_atom_site_fract_y
_atom_site_fract_z
Cs1 Cs 0.0000 0.0000 0.0000
Hg1 Hg 0.5000 0.5000 0.5000
As1 As 0.0000 0.5000 0.0000
Br1 Br 0.0000 0.0000 0.5000
```

=====

ii:
A plane-wave DFT calculation with PBE was carried out for an optimized crystal structure of CsHgAs2Br.

Geometry as CIF:
```
data_CsHgAs2Br
_cell_length_a 5.2770
_cell_length_b 5.2770
_cell_length_c 6.8245
_cell_angle_alpha 90.00
_cell_angle_beta 90.00
_cell_angle_gamma 90.00
_space_group_name_H-M_alt 'P 4/m m m'
_space_group_IT_number 123
_space_group_name_Hall '-P 4 2'
loop_
_atom_site_label
_atom_site_type_symbol
_atom_site_fract_x
_atom_site_fract_y
_atom_site_fract_z
Cs1 Cs 0.0000 0.0000 0.0000
Hg1 Hg 0.5000 0.5000 0.5000
As1 As 0.0000 0.5000 0.5000
Br1 Br 0.5000 0.5000 0.0000
```

=====

Relative to the most stable structure, the computed energies are i 890; ii 0, all in meV/atom.

=====

i:
A plane-wave DFT calculation with PBE was carried out for an optimized crystal structure of CsAsIBr2.

Geometry as CIF:
```
data_CsAsIBr2
_cell_length_a 6.5180
_cell_length_b 6.5180
_cell_length_c 5.2278
_cell_angle_alpha 90.00
_cell_angle_beta 90.00
_cell_angle_gamma 90.00
_space_group_name_H-M_alt 'P 4/m m m'
_space_group_IT_number 123
_space_group_name_Hall '-P 4 2'
loop_
_atom_site_label
_atom_site_type_symbol
_atom_site_fract_x
_atom_site_fract_y
_atom_site_fract_z
Cs1 Cs 0.0000 0.0000 0.0000
As1 As 0.5000 0.5000 0.0000
I1 I 0.5000 0.5000 0.5000
Br1 Br 0.0000 0.5000 0.5000
```

=====

ii:
A plane-wave DFT calculation with PBE was carried out for an optimized crystal structure of CsAsIBr2.

Geometry as CIF:
```
data_CsAsIBr2
_cell_length_a 5.5779
_cell_length_b 5.5779
_cell_length_c 5.8519
_cell_angle_alpha 90.00
_cell_angle_beta 90.00
_cell_angle_gamma 90.00
_space_group_name_H-M_alt 'P 4/m m m'
_space_group_IT_number 123
_space_group_name_Hall '-P 4 2'
loop_
_atom_site_label
_atom_site_type_symbol
_atom_site_fract_x
_atom_site_fract_y
_atom_site_fract_z
Cs1 Cs 0.0000 0.0000 0.0000
As1 As 0.5000 0.5000 0.5000
I1 I 0.5000 0.5000 0.0000
Br1 Br 0.0000 0.5000 0.5000
```

=====

Relative to the most stable structure, the computed energies are i 573; ii 0, all in meV/atom.